Record 1
{"formula": "Sc6Sn3C", "functional": "PBE-GGA", "state": "optimized geometry", "formation_enthalpy_0k_ev_per_atom": -0.437, "spacegroup": "C2/m, No. 12", "cell": [[5.309, -3.228, 0.000], [5.309, 3.228, 0.000], [-4.538, 0.000, 6.525]], "species": ["Sc", "Sc", "Sc", "Sc", "Sc", "Sc", "Sn", "Sn", "Sn", "C"], "fractional_positions": [[0.170, 0.698, 0.750], [0.243, 0.243, 0.087], [0.302, 0.830, 0.250], [0.698, 0.170, 0.750], [0.757, 0.757, 0.913], [0.830, 0.302, 0.250], [0.170, 0.170, 0.684], [0.500, 0.500, 0.500], [0.830, 0.830, 0.316], [0.000, 0.000, 0.000]]}

Record 2
{"formula": "TaPSe2", "functional": "PBE-GGA", "state": "optimized geometry", "formation_energy_uncorrected_ev_per_atom": -0.444, "spacegroup": "Cm, No. 8", "cell": [[4.248, -1.743, 0.000], [4.248, 1.743, 0.000], [-1.235, 0.000, 6.712]], "species": ["Ta", "P", "Se", "Se"], "fractional_positions": [[0.000, 0.000, 0.000], [0.712, 0.712, 0.060], [0.344, 0.344, 0.749], [0.548, 0.548, 0.300]]}

Record 3
{"formula": "PdI2OF", "functional": "PBE-GGA", "state": "optimized geometry", "formation_energy_uncorrected_ev_per_atom": 0.072, "spacegroup": "P4/mmm, No. 123", "cell": [[5.543, 0.000, 0.000], [0.000, 5.543, 0.000], [0.000, 0.000, 3.808]], "species": ["Pd", "I", "I", "O", "F"], "fractional_positions": [[0.000, 0.000, 0.000], [0.000, 0.500, 0.000], [0.500, 0.000, 0.000], [0.000, 0.000, 0.500], [0.500, 0.500, 0.500]]}

Number 1: DFT total energy -6.3592 eV per atom. Number 2: DFT total energy -6.5019 eV per atom. Number 3: DFT total energy -2.9522 eV per atom.